(1)
GeSbSN2: relaxed, PBE.

VASP energy: -4.804 eV/atom
Space group: P4/mmm, No. 123
Uncorrected formation energy: 1.10 eV/atom

Cell: 4.009 4.009 5.235 Å, 90.00 90.00 90.00°
Last column: magnetic moment on the atom in μB.
Fractional positions:
Sb  0.000  0.000  0.000  -0.02
Ge  0.500  0.500  0.500  -0.02
S  0.000  0.000  0.500  0.00
N  0.000  0.500  0.000  0.20
N  0.500  0.000  0.000  0.20

***

(2)
GeSbS2N: relaxed, PBE.

VASP energy: -4.302 eV/atom
Space group: P4/mmm, No. 123
Uncorrected formation energy: 0.76 eV/atom

Cell: 5.101 5.101 3.895 Å, 90.00 90.00 90.00°
Fractional positions:
Sb  0.000  0.000  0.000
Ge  0.500  0.500  0.500
S  0.000  0.500  0.000
S  0.500  0.000  0.000
N  0.000  0.000  0.500

***

(3)
GeSbSN2: relaxed, PBE.

VASP energy: -4.929 eV/atom
Space group: P4/mmm, No. 123
Uncorrected formation energy: 0.97 eV/atom

Cell: 3.875 3.875 4.875 Å, 90.00 90.00 90.00°
Last column: magnetic moment on the atom in μB.
Fractional positions:
Sb  0.500  0.500  0.500  -0.04
Ge  0.000  0.000  0.000  -0.02
S  0.000  0.000  0.500  0.00
N  0.000  0.500  0.000  0.24
N  0.500  0.000  0.000  0.24

***

(4)
ScGeS2N: relaxed, PBE.

VASP energy: -5.468 eV/atom
Space group: P4/mmm, No. 123
Uncorrected formation energy: 0.04 eV/atom

Cell: 4.998 4.998 4.107 Å, 90.00 90.00 90.00°
Last column: magnetic moment on the atom in μB.
Fractional positions:
Sc  0.000  0.000  0.000  -0.01
Ge  0.500  0.500  0.500  -0.02
S  0.000  0.500  0.000  0.18
S  0.500  0.000  0.000  0.18
N  0.000  0.000  0.500  1.03

***

(5)
ScGeS2N: relaxed, PBE.

VASP energy: -5.572 eV/atom
Space group: P4/mmm, No. 123
Uncorrected formation energy: -0.07 eV/atom

Cell: 4.811 4.811 3.604 Å, 90.00 90.00 90.00°
Fractional positions:
Sc  0.500  0.500  0.500
Ge  0.000  0.000  0.000
S  0.000  0.500  0.000
S  0.500  0.000  0.000
N  0.000  0.000  0.500

***

(6)
ScGeSN2: relaxed, PBE.

VASP energy: -6.150 eV/atom
Space group: P4/mmm, No. 123
Uncorrected formation energy: 0.20 eV/atom

Cell: 3.759 3.759 4.927 Å, 90.00 90.00 90.00°
Last column: magnetic moment on the atom in μB.
Fractional positions:
Sc  0.500  0.500  0.500  -0.02
Ge  0.000  0.000  0.000  -0.01
S  0.000  0.000  0.500  0.00
N  0.000  0.500  0.000  0.20
N  0.500  0.000  0.000  0.20

***

(7)
ScGeS2N: relaxed, PBE.

VASP energy: -4.413 eV/atom
Space group: P4/mmm, No. 123
Uncorrected formation energy: 1.09 eV/atom

Cell: 4.524 5.410 4.524 Å, 90.00 90.00 90.00°
Last column: magnetic moment on the atom in μB.
Fractional positions:
Sc  0.000  0.500  0.000  -0.22
Ge  0.000  0.000  0.000  0.00
S  0.000  0.000  0.500  0.10
S  0.500  0.000  0.000  0.07
N  0.500  0.500  0.500  1.20

***

(8)
ScGeSN2: relaxed, PBE.

VASP energy: -5.780 eV/atom
Space group: P4/mmm, No. 123
Uncorrected formation energy: 0.57 eV/atom

Cell: 4.149 4.149 5.134 Å, 90.00 90.00 90.00°
Last column: magnetic moment on the atom in μB.
Fractional positions:
Sc  0.000  0.000  0.000  -0.01
Ge  0.500  0.500  0.500  -0.04
S  0.000  0.000  0.500  0.18
N  0.000  0.500  0.000  0.76
N  0.500  0.000  0.000  0.76

***

(9)
GeSeS2N: relaxed, PBE.

VASP energy: -3.964 eV/atom
Space group: P4/mmm, No. 123
Uncorrected formation energy: 0.97 eV/atom

Cell: 4.944 4.944 3.741 Å, 90.00 90.00 90.00°
Last column: magnetic moment on the atom in μB.
Fractional positions:
Ge  0.500  0.500  0.500  0.00
S  0.000  0.500  0.000  0.09
S  0.500  0.000  0.000  0.09
Se  0.000  0.000  0.000  0.00
N  0.000  0.000  0.500  0.52

***

(10)
GeSeS2N: relaxed, PBE.

VASP energy: -4.019 eV/atom
Space group: P4/mmm, No. 123
Uncorrected formation energy: 0.92 eV/atom

Cell: 4.892 4.892 3.570 Å, 90.00 90.00 90.00°
Fractional positions:
Ge  0.000  0.000  0.000
S  0.000  0.500  0.000
S  0.500  0.000  0.000
Se  0.500  0.500  0.500
N  0.000  0.000  0.500

***

(11)
SiGeS2N: relaxed, PBE.

VASP energy: -5.110 eV/atom
Space group: P4/mmm, No. 123
Uncorrected formation energy: 0.21 eV/atom

Cell: 4.787 4.787 3.363 Å, 90.00 90.00 90.00°
Fractional positions:
Ge  0.500  0.500  0.500
Si  0.000  0.000  0.000
S  0.000  0.500  0.000
S  0.500  0.000  0.000
N  0.000  0.000  0.500

***

(12)
SiGeS2N: relaxed, PBE.

VASP energy: -4.512 eV/atom
Space group: P4/mmm, No. 123
Uncorrected formation energy: 0.81 eV/atom

Cell: 4.819 4.819 3.637 Å, 90.00 90.00 90.00°
Last column: magnetic moment on the atom in μB.
Fractional positions:
Ge  0.000  0.000  0.000  -0.03
Si  0.500  0.500  0.500  0.00
S  0.000  0.500  0.000  0.12
S  0.500  0.000  0.000  0.12
N  0.000  0.000  0.500  0.54

***

What is the formula in the twelfth record?
SiGeS2N

***

What is the formula in the twelfth record?
SiGeS2N

***

Number 11 is which compound?
SiGeS2N